# Ho2PaPd9 | Alexandria via LeMat-Bulk | PBE | optimized geometry
# formation energy from the elements	-912	meV per atom
# D(E_F)	2.01	states/eV/f.u.
data_Ho2PaPd9
_space_group_name_H-M_alt 'P 4/m m m'
_space_group_IT_number 123
_space_group_name_Hall '-P 4 2'
_cell_length_a 4.124
_cell_length_b 4.124
_cell_length_c 12.353
_cell_angle_alpha 90.00
_cell_angle_beta 90.00
_cell_angle_gamma 90.00
loop_
_atom_site_label
_atom_site_type_symbol
_atom_site_fract_x
_atom_site_fract_y
_atom_site_fract_z
_atom_site_occupancy
Ho1 Ho 0.000 0.000 0.161 1
Pa1 Pa 0.000 0.000 0.500 1
Pd1 Pd 0.000 0.500 0.000 1
Pd2 Pd 0.000 0.500 0.338 1
Pd3 Pd 0.500 0.500 0.168 1
Pd4 Pd 0.500 0.500 0.500 1